Entry 1:
BaLiSeBr2 | the Alexandria database | PBE-GGA | relaxed; magnetization = 1.01 μB per formula unit; energy relative to the lowest polymorph listed for this composition = 412 meV per atom; symmetry = P4/mmm, No. 123
1.0
-4.704 -4.087 0.884
3.548 -3.197 4.099
-2.227 3.585 4.724
Se Ba Br Li
1 1 2 1
Direct
0.000 0.000 0.500
0.000 0.000 0.000
0.000 0.500 0.000
0.500 0.000 0.000
0.500 0.500 0.500



Entry 2:
BaLiSe2Br | the Alexandria database | PBE-GGA | relaxed; magnetization = 2.02 μB per formula unit; energy relative to the lowest polymorph listed for this composition = 627 meV per atom; symmetry = P4/mmm, No. 123
1.0
-3.373 -1.972 -4.909
4.658 -3.867 -1.647
-2.515 -4.542 3.552
Se Ba Br Li
2 1 1 1
Direct
0.000 0.500 0.000
0.500 0.000 0.000
0.000 0.000 0.000
0.000 0.000 0.500
0.500 0.500 0.500



Entry 3:
BaLiSmBr6 | the Alexandria database | PBE-GGA | relaxed; magnetization = 0.00 μB per formula unit; symmetry = P-31c, No. 163; E = -35.6 eV/f.u.
1.0
-5.356 1.795 4.630
4.629 -5.392 1.685
8.539 9.293 6.275
Ba Li Sm Br
2 2 2 12
Direct
0.000 0.000 0.000
0.000 0.000 0.500
0.333 0.667 0.250
0.667 0.333 0.750
0.667 0.333 0.250
0.333 0.667 0.750
0.632 0.640 0.135
0.008 0.368 0.135
0.368 0.008 0.635
0.992 0.632 0.865
0.360 0.368 0.365
0.008 0.640 0.365
0.640 0.008 0.865
0.632 0.992 0.365
0.992 0.360 0.635
0.360 0.992 0.135
0.640 0.632 0.635
0.368 0.360 0.865



Entry 4:
BaLi2SnBr8 | the Alexandria database | PBE-GGA | relaxed; magnetization = 0.00 μB per formula unit; symmetry = P-3, No. 147; E = -38.0 eV/f.u.
1.0
-2.674 -1.105 -6.108
-3.106 -2.348 5.524
-4.803 7.927 0.668
Ba Li Sn Br
1 2 1 8
Direct
0.000 0.000 0.000
0.667 0.333 0.269
0.333 0.667 0.731
0.000 0.000 0.500
0.333 0.667 0.992
0.291 0.326 0.325
0.674 0.966 0.325
0.667 0.333 0.008
0.326 0.034 0.675
0.709 0.674 0.675
0.966 0.291 0.675
0.034 0.709 0.325



Entry 5:
BaLiTbBr6 | the Alexandria database | PBE-GGA | relaxed; magnetization = 0.00 μB per formula unit; symmetry = P-31c, No. 163; E = -35.5 eV/f.u.
1.0
7.251 0.000 0.000
-3.625 6.279 0.000
0.000 0.000 14.072
Ba Li Tb Br
2 2 2 12
Direct
0.000 0.000 0.000
0.000 0.000 0.500
0.333 0.667 0.250
0.667 0.333 0.750
0.667 0.333 0.250
0.333 0.667 0.750
0.632 0.636 0.136
0.004 0.368 0.136
0.368 0.004 0.636
0.996 0.632 0.864
0.364 0.368 0.364
0.004 0.636 0.364
0.636 0.004 0.864
0.632 0.996 0.364
0.996 0.364 0.636
0.364 0.996 0.136
0.636 0.632 0.636
0.368 0.364 0.864



Entry 6:
BaLi2TbBr8 | the Alexandria database | PBE-GGA | relaxed; magnetization = 1.09 μB per formula unit; symmetry = P-3, No. 147; E = -42.3 eV/f.u.
1.0
7.029 0.000 0.000
-3.514 6.087 0.000
0.000 0.000 9.178
Ba Li Tb Br
1 2 1 8
Direct
0.000 0.000 0.000
0.667 0.333 0.276
0.333 0.667 0.724
0.000 0.000 0.500
0.333 0.667 0.998
0.302 0.318 0.308
0.682 0.985 0.308
0.667 0.333 0.002
0.318 0.015 0.692
0.698 0.682 0.692
0.985 0.302 0.692
0.015 0.698 0.308